## AlBiAs2Br (PBE-GGA)

Data for an optimized crystal structure of AlBiAs2Br.

abc: 5.4922 5.4922 5.8924
angles: 90.00 90.00 90.00
Closest atoms and distances in Å follow each position.
Space group P4/mmm (No. 123)
Unique sites:
Al1 0.0000 0.0000 0.0000 (multiplicity 1)  4 Br 3.88, 8 As 4.03
Bi1 0.5000 0.5000 0.5000 (multiplicity 1)  4 As 2.75, 2 Br 2.95
As1 0.0000 0.5000 0.5000 (multiplicity 2)  2 Bi 2.75
Br1 0.5000 0.5000 0.0000 (multiplicity 1)  2 Bi 2.95

Calculated values
excess energy over the best structure of this formula in the dataset: 2.682 eV per formula unit
E_form (uncorrected): 70.5 kJ per mole of atoms
magnetization: 1.03 μB per cell

***

## AlBiAs2Br (PBE-GGA)

Data for an optimized crystal structure of AlBiAs2Br.

abc: 5.0299 5.0299 4.8866
angles: 90.00 90.00 90.00
Closest atoms and distances in Å follow each position.
Space group P4/mmm (No. 123)
Unique sites:
Al1 0.0000 0.0000 0.0000 (multiplicity 1)  2 Br 2.44, 4 As 2.51
Bi1 0.5000 0.5000 0.5000 (multiplicity 1)  8 As 3.51, 4 Br 3.56
As1 0.0000 0.5000 0.0000 (multiplicity 2)  2 Al 2.51
Br1 0.0000 0.0000 0.5000 (multiplicity 1)  2 Al 2.44

Calculated values
excess energy over the best structure of this formula in the dataset: 0.000 eV per formula unit
E_form (uncorrected): 18.7 kJ per mole of atoms
magnetization: 0.00 μB per cell

***

## Ca2AlBiAs (PBE-GGA)

Data for an optimized crystal structure of Ca2AlBiAs.

abc: 5.5838 5.5838 4.8949
angles: 90.00 90.00 90.00
Closest atoms and distances in Å follow each position.
Space group P4/mmm (No. 123)
Unique sites:
Ca1 0.0000 0.5000 0.0000 (multiplicity 2)  2 As 2.79
Al1 0.0000 0.0000 0.5000 (multiplicity 1)  2 As 2.45
Bi1 0.5000 0.5000 0.5000 (multiplicity 1)  8 Ca 3.71, 4 Al 3.95
As1 0.0000 0.0000 0.0000 (multiplicity 1)  2 Al 2.45

Calculated values
excess energy over the best structure of this formula in the dataset: 0.892 eV per formula unit
magnetization: 0.00 μB per cell
formation energy from the elements: -0.496 eV/atom

***

## Ca2AlBiAs (PBE-GGA)

Data for an optimized crystal structure of Ca2AlBiAs.

abc: 7.2990 4.3819 9.6306
angles: 90.00 105.89 90.00
Closest atoms and distances in Å follow each position.
Space group P2_1/m (No. 11)
Unique sites:
Ca1 0.2292 0.2500 0.4881 (multiplicity 2)  3 As 2.90-3.01, 1 Al 3.17
Ca2 0.2302 0.2500 0.8939 (multiplicity 2)  2 As 2.93
Al1 0.4954 0.2500 0.2774 (multiplicity 2)  1 As 2.40
Bi1 0.2639 0.7500 0.1726 (multiplicity 2)  2 Al 2.78
As1 0.1650 0.7500 0.6843 (multiplicity 2)  1 Al 2.40

Calculated values
excess energy over the best structure of this formula in the dataset: 0.000 eV per formula unit
magnetization: 0.00 μB per cell
formation energy from the elements: -0.674 eV/atom

***

## AlGeBi2As (PBE-GGA)

Data for an optimized crystal structure of AlGeBi2As.

abc: 5.5141 5.5141 4.8551
angles: 90.00 90.00 90.00
Closest atoms and distances in Å follow each position.
Space group P4/mmm (No. 123)
Unique sites:
Al1 0.0000 0.0000 0.0000 (multiplicity 1)  2 Ge 2.43
Ge1 0.0000 0.0000 0.5000 (multiplicity 1)  2 Al 2.43
Bi1 0.0000 0.5000 0.5000 (multiplicity 2)  2 Ge 2.76
As1 0.5000 0.5000 0.0000 (multiplicity 1)  8 Bi 3.67, 4 Al 3.90

Calculated values
magnetization: 0.00 μB per cell
formation energy from the elements: 0.672 eV/atom

***

## AlHgBi2As (PBE-GGA)

Data for an optimized crystal structure of AlHgBi2As.

abc: 5.7725 5.7725 4.8350
angles: 90.00 90.00 90.00
Closest atoms and distances in Å follow each position.
Space group P4/mmm (No. 123)
Unique sites:
Al1 0.0000 0.0000 0.0000 (multiplicity 1)  2 Hg 2.42
Hg1 0.0000 0.0000 0.5000 (multiplicity 1)  2 Al 2.42
Bi1 0.0000 0.5000 0.5000 (multiplicity 2)  2 Hg 2.89
As1 0.5000 0.5000 0.0000 (multiplicity 1)  8 Bi 3.76, 4 Al 4.08

Calculated values
excess energy over the best structure of this formula in the dataset: 1.091 eV per formula unit
magnetization: 0.00 μB per cell
formation energy from the elements: 0.795 eV/atom

***

Question: magnetization of number 4 (Ca2AlBiAs)?
Answer: 0.00 μB per cell

***

Question: What is the magnetization in the fifth record?
Answer: 0.00 μB per cell